4
Lattice="3.3763 0.0000 0.0000 0.0000 4.2093 0.0000 0.0000 0.0000 6.1196" Properties=species:S:1:pos:R:3 comment="FeSeBr2 (GGA-PBEsol, optimized geometry)" e_tot_ev_per_fu=-14.7 raw_formation_energy_kj_per_mol_fu=180 de_polymorph_kcal_per_mol_atoms=13.77 pbc="T T T"
Fe 0.0000 0.0000 0.0000
Se 1.6882 0.0000 3.0598
Br 0.0000 2.1046 3.0598
Br 1.6882 2.1046 0.0000

=====

5
Lattice="5.9209 0.0000 0.0000 0.0000 5.9209 0.0000 0.0000 0.0000 5.9209" Properties=species:S:1:pos:R:3 comment="SbPb3I (GGA-PBEsol, optimized geometry)" e_tot_ev_per_fu=-16.0 raw_formation_energy_kj_per_mol_fu=223 pbc="T T T"
Sb 0.0000 0.0000 0.0000
Pb 0.0000 0.0000 2.9605
Pb 0.0000 2.9605 0.0000
Pb 2.9605 0.0000 0.0000
I 2.9605 2.9605 2.9605

=====

26
Lattice="4.5088 -5.0780 0.0000 4.5088 5.0780 0.0000 0.0000 0.0000 9.0466" Properties=species:S:1:pos:R:3 comment="ErAl10Ru2 (GGA-PBEsol, optimized geometry)" e_tot_ev_per_fu=-72.7 pbc="T T T"
Er 4.5088 3.7731 6.7849
Er 4.5088 -3.7731 2.2616
Al 2.5067 1.3815 6.7849
Al 4.5088 3.4976 0.9034
Al 4.5088 3.4976 3.6199
Al 3.1461 1.3233 2.2616
Al 2.0266 0.0000 0.0000
Al 2.0266 0.0000 4.5233
Al 4.5088 1.2573 4.9702
Al 4.5088 1.2573 8.5997
Al 2.5067 -1.3815 2.2616
Al 3.1461 -1.3233 6.7849
Al 5.8715 1.3233 2.2616
Al 6.5110 1.3815 6.7849
Al 4.5088 -1.2573 0.4469
Al 4.5088 -1.2573 4.0764
Al 6.9910 0.0000 0.0000
Al 6.9910 0.0000 4.5233
Al 5.8715 -1.3233 6.7849
Al 4.5088 -3.4976 5.4267
Al 4.5088 -3.4976 8.1432
Al 6.5110 -1.3815 2.2616
Ru 2.2544 2.5390 0.0000
Ru 2.2544 2.5390 4.5233
Ru 2.2544 -2.5390 0.0000
Ru 2.2544 -2.5390 4.5233

=====

3
Lattice="0.0000 2.9665 2.9665 2.9665 0.0000 2.9665 2.9665 2.9665 0.0000" Properties=species:S:1:pos:R:3 comment="CrNiSb (GGA-PBEsol, optimized geometry)" e_tot_ev_per_fu=-20.0 raw_formation_energy_kj_per_mol_fu=89 pbc="T T T"
Cr 0.0000 0.0000 0.0000
Ni 2.9665 2.9665 2.9665
Sb 1.4833 1.4833 1.4833

=====

3
Lattice="0.0000 2.9703 2.9703 2.9703 0.0000 2.9703 2.9703 2.9703 0.0000" Properties=species:S:1:pos:R:3 comment="MoIrPt (GGA-PBEsol, optimized geometry)" e_tot_ev_per_fu=-26.5 de_polymorph_kcal_per_mol_atoms=22.73 pbc="T T T"
Mo 0.0000 0.0000 0.0000
Ir 2.9703 2.9703 2.9703
Pt 4.4555 4.4555 4.4555

=====

5
Lattice="5.3909 0.0000 0.0000 0.0000 5.3909 0.0000 0.0000 0.0000 5.3909" Properties=species:S:1:pos:R:3 comment="RbYAu3 (GGA-PBEsol, optimized geometry)" e_tot_ev_per_fu=-14.7 pbc="T T T"
Rb 0.0000 0.0000 0.0000
Y 2.6954 2.6954 2.6954
Au 0.0000 0.0000 2.6954
Au 0.0000 2.6954 0.0000
Au 2.6954 0.0000 0.0000

=====

4
Lattice="-1.8047 5.7342 3.1299 1.8047 -5.7342 3.1299 1.8047 5.7342 -3.1299" Properties=species:S:1:pos:R:3 comment="CaY3 (GGA-PBEsol, optimized geometry)" e_tot_ev_per_fu=-22.3 pbc="T T T"
Ca 0.0000 0.0000 0.0000
Y 1.8047 2.9693 1.0152
Y 1.8047 0.0000 3.1174
Y 0.0000 2.7650 4.1451

=====

6
Lattice="4.8519 0.0000 0.0000 0.0000 5.8724 0.0000 0.0000 0.0000 3.6314" Properties=species:S:1:pos:R:3 comment="NiSe2 (GGA-PBEsol, optimized geometry)" e_tot_ev_per_fu=-14.8 raw_formation_energy_kj_per_mol_fu=-86 pbc="T T T"
Ni 0.0000 0.0000 0.0000
Ni 2.4260 2.9362 1.8157
Se 1.0286 2.1860 0.0000
Se 1.3974 5.1222 1.8157
Se 3.4546 0.7502 1.8157
Se 3.8233 3.6864 0.0000